Computed, not measured: a geometry-optimized KMo2Cl7O2 structure at the PBE with a Hubbard U level of DFT.

Computed properties:
Electronic total energy ... -105.58 eV per cell
Spin magnetization ... 2.0 μB/f.u.
SG ... No. 15

Geometry as POSCAR:
```
KMo2Cl7O2
1.0
-0.5124 6.6452 4.8647
-7.4592 -2.7238 2.2424
1.8349 -4.1034 9.7995
Mo Cl K O
4 14 2 4
Direct
0.8644 0.3566 0.3390 Mo
0.1356 0.6434 0.6610 Mo
0.6434 0.1356 0.1610 Mo
0.3566 0.8644 0.8390 Mo
0.7318 0.5705 0.4208 Cl
0.0999 0.9001 0.7500 Cl
0.5343 0.2084 0.3692 Cl
0.5705 0.7318 0.9208 Cl
0.2084 0.5343 0.8692 Cl
0.8310 0.1934 0.5524 Cl
0.1934 0.8310 0.0524 Cl
0.9001 0.0999 0.2500 Cl
0.8066 0.1690 0.9476 Cl
0.4295 0.2682 0.0792 Cl
0.4657 0.7916 0.6308 Cl
0.1690 0.8066 0.4476 Cl
0.2682 0.4295 0.5792 Cl
0.7916 0.4657 0.1308 Cl
0.5973 0.4027 0.7500 K
0.4027 0.5973 0.2500 K
0.4307 0.0698 0.7975 O
0.9302 0.5693 0.7025 O
0.0698 0.4307 0.2975 O
0.5693 0.9302 0.2025 O
```